No. 1
Entry from Alexandria via LeMat-Bulk: a geometry-optimized BeSbMo2 structure (PBE).

SG: R-3m (166)
Formation energy from raw total energies (eV per formula unit): 1.3
Uncorrected energy (eV per atom): -7.0461

Cell lengths 6.9668, 6.9668, 6.9668 Å; angles 27.53, 27.53, 27.53 degrees
With the nearest neighbours (Å) after each atom.
Sites, in units of the cell vectors:
Be 0.0000 0.0000 0.0000  6 Mo 2.27
Sb 0.5000 0.5000 0.5000  6 Mo 2.86
Mo 0.2725 0.2725 0.2725  3 Be 2.27
Mo 0.7275 0.7275 0.7275  3 Be 2.27

=====

No. 2
Entry from Alexandria via LeMat-Bulk: a geometry-optimized BeSb2Mo structure (PBE).

SG: Pm (6)
Formation energy from raw total energies (eV per formula unit): 0.6
Uncorrected energy (eV per atom): -5.5504

Cell lengths 3.5675, 4.1768, 5.2385 Å; angles 90.00, 109.83, 90.00 degrees
With the nearest neighbours (Å) after each atom.
Sites, in units of the cell vectors:
Be 0.0000 0.0000 0.0000  2 Mo 2.55, 5 Sb 2.59-2.82
Sb 0.4379 0.5000 0.8747  3 Mo 2.74-2.85, 4 Be 2.81-2.82
Sb 0.7371 0.0000 0.4750  1 Be 2.59, 4 Mo 2.88-2.89
Mo 0.1483 0.5000 0.2959  2 Be 2.55, 2 Sb 2.74

=====

No. 3
Entry from Alexandria via LeMat-Bulk: a geometry-optimized BeSbMo2 structure (PBE).

SG: Pm (6)
Formation energy from raw total energies (eV per formula unit): 1.6
Uncorrected energy (eV per atom): -6.9860

Cell lengths 3.0326, 4.2367, 5.1514 Å; angles 90.00, 103.01, 90.00 degrees
With the nearest neighbours (Å) after each atom.
Sites, in units of the cell vectors:
Be 0.0000 0.0000 0.0000  3 Mo 2.40-2.48, 2 Sb 2.66
Sb 0.0964 0.5000 0.7060  2 Be 2.66, 5 Mo 2.72-2.90
Mo 0.5294 0.0000 0.4245  1 Be 2.40, 2 Mo 2.65
Mo 0.7406 0.5000 0.1690  2 Be 2.48, 2 Mo 2.65, 2 Sb 2.72-2.73

=====

No. 4
Entry from Alexandria via LeMat-Bulk: a geometry-optimized BeSbMo4 structure (PBE).

SG: F-43m (216)
Formation energy from raw total energies (eV per formula unit): 3.7
Uncorrected energy (eV per atom): -7.9149

Cell lengths 5.2627, 5.2627, 5.2627 Å; angles 60.00, 60.00, 60.00 degrees
With the nearest neighbours (Å) after each atom.
Sites, in units of the cell vectors:
Be 0.0000 0.0000 0.0000  12 Mo 3.08, 4 Sb 3.22
Sb 0.2500 0.2500 0.2500  12 Mo 3.09, 4 Be 3.22
Mo 0.1216 0.6261 0.6261  6 Mo 2.61-2.65
Mo 0.6261 0.1216 0.6261  6 Mo 2.61-2.65
Mo 0.6261 0.6261 0.1216  6 Mo 2.61-2.65
Mo 0.6261 0.6261 0.6261  6 Mo 2.61-2.65

=====

> What is the formation energy from raw total energies in the first record?

1.3 eV per formula unit

=====

> Number 3 is which compound?

BeSbMo2

=====

> Which formula does entry 2 have?

BeSb2Mo